Entry 1:
A plane-wave DFT calculation with GGA-PBE was carried out for crystalline ZnTcIr at its relaxed geometry.

extended XYZ file:
```
3
Lattice="-5.702 3.318 2.861 -5.700 0.800 3.881 0.986 2.015 1.533" Properties=species:S:1:pos:R:3 pbc="T T T"
Ir -11.398 4.116 6.740
Tc -3.163 2.719 3.278
Zn -7.258 3.414 4.999
```

Results
Energy above the most stable polymorph in this dataset ... 285 meV/atom
SG ... Fmm2, No. 42



Entry 2:
A plane-wave DFT calculation with GGA-PBE was carried out for crystalline ZnTcIr2 at its relaxed geometry.

extended XYZ file:
```
4
Lattice="-1.827 -1.739 -1.170 2.062 -1.214 -1.416 1.001 -4.799 5.571" Properties=species:S:1:pos:R:3 pbc="T T T"
Zn 0.118 -1.476 -1.293
Ir 0.748 -3.586 4.162
Ir 0.253 -1.213 1.409
Tc 0.618 -3.876 1.493
```

Results
DFT total energy ... -7.56 eV per atom
SG ... P4/mmm, No. 123



Entry 3:
A plane-wave DFT calculation with GGA-PBE was carried out for crystalline ZnTc2Ir at its relaxed geometry.

extended XYZ file:
```
4
Lattice="5.139 -0.001 0.001 2.350 4.570 -0.001 -3.180 -3.210 2.448" Properties=species:S:1:pos:R:3 pbc="T T T"
Ir 1.525 1.864 1.223
Tc 7.448 4.545 0.000
Tc 2.824 -0.480 1.225
Zn 3.745 2.285 0.000
```

Results
DFT total energy ... -7.63 eV per atom
SG ... Imm2, No. 44



Entry 4:
A plane-wave DFT calculation with GGA-PBE was carried out for crystalline Zn2TcIr at its relaxed geometry.

extended XYZ file:
```
4
Lattice="-2.426 3.976 0.341 -2.479 3.210 -2.316 -4.272 -1.893 0.630" Properties=species:S:1:pos:R:3 pbc="T T T"
Ir -4.515 2.710 -0.692
Tc -2.363 1.250 -0.314
Zn -9.096 5.313 -1.352
Zn -6.970 3.961 -1.004
```

Results
Energy above the most stable polymorph in this dataset ... 111 meV/atom
SG ... Cm, No. 8



Entry 5:
A plane-wave DFT calculation with GGA-PBE was carried out for crystalline Zn2TcIr at its relaxed geometry.

extended XYZ file:
```
8
Lattice="-5.029 1.766 4.557 -4.820 -2.872 -4.206 -4.631 -2.792 1.368" Properties=species:S:1:pos:R:3 pbc="T T T"
Zn -4.937 0.059 2.695
Zn -4.766 -2.284 -1.748
Zn -7.135 -2.490 1.185
Zn -12.123 -3.081 1.305
Ir 0.000 0.000 0.000
Ir -7.292 -0.789 3.050
Tc -4.925 -0.553 0.175
Tc -7.188 -3.109 -1.332
```

Results
Energy above the most stable polymorph in this dataset ... 651 meV/atom
SG ... I-42d, No. 122



Entry 6:
A plane-wave DFT calculation with GGA-PBE was carried out for crystalline ZnTc2Ir at its relaxed geometry.

extended XYZ file:
```
4
Lattice="-1.101 -0.168 2.834 3.175 -2.485 1.086 2.462 3.658 1.174" Properties=species:S:1:pos:R:3 pbc="T T T"
Ir 2.818 0.586 1.130
Tc 0.000 0.000 0.000
Tc 1.037 -1.327 1.960
Zn 0.680 1.745 2.004
```

Results
DFT total energy ... -7.58 eV per atom
SG ... Pmmm, No. 47